Record 1
A geometry-optimized NdEr3Ga3 structure, computed with PBE-GGA.

* formation energy from the elements: -0.440 eV per atom

Lattice parameters (Å, degrees): 9.1844 9.1844 4.7747 90.00 90.00 120.00
Closest atoms and distances in Å follow each position.
Space group P6_3/m (No. 176)
Inequivalent atoms, fractional coordinates:
Nd  0.3333  0.6667  0.2500  9 Ga 3.20-3.32
Er  0.0176  0.7629  0.7500  4 Ga 2.94-3.09
Ga  0.0584  0.4490  0.7500  4 Er 2.94-3.09, 2 Ga 2.95, 1 Nd 3.20

Record 2
A geometry-optimized Na3BO3 structure, computed with PBE-GGA.

* energy relative to the lowest polymorph listed for this composition: 107 meV per atom

Lattice parameters (Å, degrees): 6.0223 9.5807 5.5484 90.00 102.80 90.00
Closest atoms and distances in Å follow each position.
Space group C2/m (No. 12)
Inequivalent atoms, fractional coordinates:
Na  0.0000  0.1937  0.0000  6 O 2.41-2.67
Na  0.0000  0.2598  0.5000  4 O 2.31-2.42
Na  0.1213  0.5000  0.8501  5 O 2.21-2.46, 1 Na 2.44
B  0.1597  0.0000  0.6466  4 O 1.47-1.59
O  0.1010  0.0000  0.3529  2 B 1.57-1.59
O  0.2238  0.3728  0.2438  1 B 1.47

Record 3
A geometry-optimized Sm2SnO structure, computed with PBE-GGA.

* energy relative to the lowest polymorph listed for this composition: 201 meV per atom

Lattice parameters (Å, degrees): 3.6465 3.6465 23.1909 90.00 90.00 120.00
Closest atoms and distances in Å follow each position.
Space group R-3m (No. 166, hexagonal axes)
Inequivalent atoms, fractional coordinates:
Sm  0.0000  0.0000  0.2247  3 O 2.50
Sn  0.0000  0.0000  0.0000  6 Sm 3.28, 6 Sn 3.65
O  0.0000  0.0000  0.5000  6 Sm 2.50

Record 4
A geometry-optimized CdHg structure, computed with PBE-GGA.

* formation energy from the elements: 0.033 eV per atom

Lattice parameters (Å, degrees): 3.1821 3.1821 11.5013 90.00 90.00 120.00
Closest atoms and distances in Å follow each position.
Space group P6_3mc (No. 186)
Inequivalent atoms, fractional coordinates:
Cd  0.3333  0.6667  0.0000  4 Hg 2.98-3.32, 6 Cd 3.18
Hg  0.3333  0.6667  0.2593  4 Cd 2.98-3.32, 6 Hg 3.18

Record 5
A geometry-optimized Tm2NbGa6 structure, computed with PBE-GGA.

* formation energy from the elements: -0.422 eV per atom

Lattice parameters (Å, degrees): 5.8918 5.8918 5.7473 90.00 90.00 120.00
Closest atoms and distances in Å follow each position.
Space group P-3m1 (No. 164)
Inequivalent atoms, fractional coordinates:
Tm  0.3333  0.6667  0.3347  12 Ga 3.09-3.31
Nb  0.0000  0.0000  0.5000  6 Ga 2.63
Ga  0.1814  0.3627  0.8255  1 Nb 2.63, 4 Ga 2.69-2.73

Record 6
A geometry-optimized CePm2SmSb5 structure, computed with PBE-GGA.

* E_tot: -42.64 eV per cell

Lattice parameters (Å, degrees): 5.3612 5.3612 11.7866 90.00 90.00 90.00
Closest atoms and distances in Å follow each position.
Space group P4/mmm (No. 123)
Inequivalent atoms, fractional coordinates:
Ce  0.0000  0.0000  0.0000  2 Sb 2.90
Pm  0.5000  0.5000  0.2784  1 Sb 3.28
Sm  0.0000  0.0000  0.5000  6 Sb 2.68-2.99
Sb  0.0000  0.0000  0.2461  1 Ce 2.90, 1 Sm 2.99
Sb  0.0000  0.5000  0.5000  2 Sm 2.68
Sb  0.5000  0.5000  0.0000  2 Pm 3.28

Record 7
A geometry-optimized BaTeOsN2 structure, computed with PBE-GGA.

* energy relative to the lowest polymorph listed for this composition: 0 meV per atom

Lattice parameters (Å, degrees): 4.2191 4.2191 5.5782 90.00 90.00 90.00
Closest atoms and distances in Å follow each position.
Space group P4/mmm (No. 123)
Inequivalent atoms, fractional coordinates:
Ba  0.0000  0.0000  0.0000  4 Te 2.98
Te  0.5000  0.5000  0.0000  2 Os 2.79, 4 Ba 2.98
Os  0.5000  0.5000  0.5000  4 N 2.11
N  0.0000  0.5000  0.5000  2 Os 2.11

Record 8
A geometry-optimized FeSn6Os structure, computed with PBE-GGA.

* formation energy from the elements: 0.301 eV per atom

Lattice parameters (Å, degrees): 6.6460 9.5633 6.5933 90.00 100.62 90.00
Closest atoms and distances in Å follow each position.
Space group C2/m (No. 12)
Inequivalent atoms, fractional coordinates:
Fe  0.0000  0.0000  0.0000  6 Sn 2.48-2.62
Sn  0.2423  0.0000  0.7547  1 Fe 2.48, 1 Os 2.61
Sn  0.2471  0.1687  0.2399  1 Fe 2.62, 1 Os 2.70
Os  0.0000  0.5000  0.5000  6 Sn 2.61-2.70